1.
Entry from Alexandria via LeMat-Bulk: a geometry-optimized HoEr3Pd3 structure (PBE).

M_tot   0.00 μB per cell
E above lowest polymorph   10 meV/atom
Symmetry   C2/m
E_form   -0.72 eV/atom

```
HoEr3Pd3
1.0
-2.136 -2.044 6.240
6.185 -3.067 0.144
2.692 5.938 2.678
Ho Er Pd
2 6 6
Direct
0.737 0.737 0.877
0.263 0.263 0.123
0.652 0.652 0.365
0.177 0.823 0.500
0.823 0.177 0.500
0.250 0.750 0.000
0.750 0.250 0.000
0.348 0.348 0.635
0.938 0.938 0.193
0.987 0.497 0.721
0.497 0.987 0.721
0.013 0.503 0.279
0.503 0.013 0.279
0.062 0.062 0.807
```

---

2.
Entry from Alexandria via LeMat-Bulk: a geometry-optimized TiB2Au structure (PBE).

M_tot   0.72 μB per cell
E above lowest polymorph   18 meV/atom
Symmetry   Fm-3m
E_form   0.58 eV/atom

```
TiB2Au
1.0
0.000 2.850 2.850
2.850 0.000 2.850
2.850 2.850 0.000
B Au Ti
2 1 1
Direct
0.250 0.250 0.250
0.750 0.750 0.750
0.500 0.500 0.500
0.000 0.000 0.000
```

---

3.
Entry from Alexandria via LeMat-Bulk: a geometry-optimized PaGaIO4 structure (PBE).

Energy relative to the elements, uncorrected   -2274 meV/atom
M_tot   0.00 μB per cell
Symmetry   C2/m

```
PaGaIO4
1.0
-2.592 5.236 3.659
-4.775 4.496 -2.123
-5.778 -2.727 2.530
Pa Ga I O
2 2 2 8
Direct
0.303 0.303 0.835
0.697 0.697 0.165
0.627 0.627 0.738
0.373 0.373 0.262
0.041 0.041 0.301
0.959 0.959 0.699
0.313 0.313 0.533
0.687 0.687 0.467
0.096 0.537 0.121
0.526 0.526 0.210
0.463 0.904 0.879
0.537 0.096 0.121
0.474 0.474 0.790
0.904 0.463 0.879
```

---

4.
Entry from Alexandria via LeMat-Bulk: a geometry-optimized TeSe2Cl structure (PBE).

Energy relative to the elements, uncorrected   189 meV/atom
M_tot   0.00 μB per cell
E above lowest polymorph   331 meV/atom
Symmetry   Cmm2

```
TeSe2Cl
1.0
4.763 0.014 0.000
-3.094 3.622 0.000
0.000 0.000 7.584
Cl Se Te
1 2 1
Direct
0.500 0.500 0.755
0.000 0.000 0.020
0.500 0.500 0.237
0.000 0.000 0.489
```

---

5.
Entry from Alexandria via LeMat-Bulk: a geometry-optimized BaMgSc2 structure (PBE).

M_tot   0.00 μB per cell
Symmetry   P4/mmm
E_form   0.21 eV/atom

```
BaMgSc2
1.0
3.684 0.015 0.000
-0.014 3.684 0.000
0.000 0.000 9.115
Ba Mg Sc
1 1 2
Direct
0.500 0.500 0.250
0.500 0.500 0.750
0.000 0.000 0.931
0.000 0.000 0.569
```

---

| no. | total energy (eV/atom) |
| --- | --- |
| 1 | -5.55 |
| 2 | -5.55 |
| 3 | -7.12 |
| 4 | -2.80 |
| 5 | -3.84 |